Record 1
Entry from the Alexandria database: a relaxed structure of MgSc3Ge (GGA-PBE).

Unit cell a=5.1276 b=5.1276 c=5.1276 alpha=90.00 beta=90.00 gamma=90.00
Sites, in units of the cell vectors:
Mg  0.0000  0.0000  0.0000
Sc  0.0000  0.5000  0.5000
Sc  0.5000  0.0000  0.5000
Sc  0.5000  0.5000  0.0000
Ge  0.5000  0.5000  0.5000

Computed properties:
- Calculated total energy: -25.4 eV for the cell shown
- ΔH_f (0 K): -0.2 eV/f.u.
- Offset from the most stable computed form: 0.000 kcal/mol of atoms
- Symmetry: Pm-3m (221)



Record 2
Entry from the Alexandria database: a relaxed structure of MgSc2Ge (GGA-PBE).

Unit cell a=6.2913 b=6.2913 c=6.2913 alpha=103.90 beta=103.90 gamma=121.31
Sites, in units of the cell vectors:
Mg  0.0000  0.0000  0.0000
Mg  0.7500  0.2500  0.5000
Sc  0.1614  0.6250  0.0364
Sc  0.3750  0.4114  0.5364
Sc  0.5886  0.1250  0.9636
Sc  0.8750  0.8386  0.4636
Ge  0.2500  0.7500  0.5000
Ge  0.5000  0.5000  0.0000

Computed properties:
- Calculated total energy: -38.1 eV for the cell shown
- ΔH_f (0 K): -0.2 eV/f.u.
- Symmetry: I-42d (122)



Record 3
Entry from the Alexandria database: a relaxed structure of MgScGe3 (GGA-PBE).

Unit cell a=5.1183 b=5.1183 c=5.1183 alpha=90.00 beta=90.00 gamma=90.00
Sites, in units of the cell vectors:
Mg  0.0000  0.0000  0.0000
Sc  0.5000  0.5000  0.5000
Ge  0.0000  0.5000  0.5000
Ge  0.5000  0.0000  0.5000
Ge  0.5000  0.5000  0.0000

Computed properties:
- Calculated total energy: -19.8 eV for the cell shown
- ΔH_f (0 K): 2.0 eV/f.u.
- Offset from the most stable computed form: 0.000 kcal/mol of atoms
- Symmetry: Pm-3m (221)



Record 4
Entry from the Alexandria database: a relaxed structure of MgSc2Ge (GGA-PBE).

Unit cell a=10.3408 b=10.3408 c=10.3408 alpha=18.35 beta=18.35 gamma=18.35
Sites, in units of the cell vectors:
Mg  0.0000  0.0000  0.0000
Sc  0.1010  0.1010  0.1010
Sc  0.8990  0.8990  0.8990
Ge  0.5000  0.5000  0.5000

Computed properties:
- Calculated total energy: -18.8 eV for the cell shown
- ΔH_f (0 K): 0.1 eV/f.u.
- Symmetry: R-3m (166)



Record 5
Entry from the Alexandria database: a relaxed structure of MgSc2Ge (GGA-PBE).

Unit cell a=3.5684 b=3.5684 c=6.4719 alpha=90.00 beta=90.00 gamma=90.00
Sites, in units of the cell vectors:
Mg  0.0000  0.0000  0.0000
Sc  0.5000  0.5000  0.2672
Sc  0.5000  0.5000  0.7328
Ge  0.0000  0.0000  0.5000

Computed properties:
- Calculated total energy: -20.4 eV for the cell shown
- ΔH_f (0 K): -1.5 eV/f.u.
- Symmetry: P4/mmm (123)



Record 6
Entry from the Alexandria database: a relaxed structure of Mg2ScGe2 (GGA-PBE).

Unit cell a=6.6031 b=6.6031 c=6.6031 alpha=143.50 beta=143.50 gamma=52.58
Sites, in units of the cell vectors:
Mg  0.2500  0.7500  0.5000
Mg  0.7500  0.2500  0.5000
Sc  0.0000  0.0000  0.0000
Ge  0.3973  0.3973  0.0000
Ge  0.6027  0.6027  0.0000

Computed properties:
- Calculated total energy: -20.1 eV for the cell shown
- ΔH_f (0 K): -1.4 eV/f.u.
- Offset from the most stable computed form: 0.000 kcal/mol of atoms
- Symmetry: I4/mmm (139)



Record 7
Entry from the Alexandria database: a relaxed structure of MgScGe3 (GGA-PBE).

Unit cell a=4.9122 b=4.9122 c=4.9122 alpha=90.00 beta=90.00 gamma=90.00
Sites, in units of the cell vectors:
Mg  0.0000  0.0000  0.0000
Sc  0.5000  0.5000  0.5000
Ge  0.0000  0.0000  0.5000
Ge  0.0000  0.5000  0.0000
Ge  0.5000  0.0000  0.0000

Computed properties:
- Calculated total energy: -19.4 eV for the cell shown
- ΔH_f (0 K): 2.3 eV/f.u.
- Offset from the most stable computed form: 1.676 kcal/mol of atoms
- Symmetry: Pm-3m (221)



Record 8
Entry from the Alexandria database: a relaxed structure of Mg2Sc2Ge (GGA-PBE).

Unit cell a=7.0688 b=7.0688 c=4.8572 alpha=90.00 beta=90.00 gamma=90.00
Sites, in units of the cell vectors:
Mg  0.1534  0.3466  0.0000
Mg  0.3466  0.8466  0.0000
Mg  0.6534  0.1534  0.0000
Mg  0.8466  0.6534  0.0000
Sc  0.1560  0.6560  0.5000
Sc  0.3440  0.1560  0.5000
Sc  0.6560  0.8440  0.5000
Sc  0.8440  0.3440  0.5000
Ge  0.0000  0.0000  0.5000
Ge  0.5000  0.5000  0.5000

Computed properties:
- Calculated total energy: -41.5 eV for the cell shown
- ΔH_f (0 K): -0.3 eV/f.u.
- Offset from the most stable computed form: 0.958 kcal/mol of atoms
- Symmetry: P4/mbm (127)



Record 9
Entry from the Alexandria database: a relaxed structure of MgSc2Ge (GGA-PBE).

Unit cell a=4.4363 b=4.4363 c=4.0808 alpha=90.00 beta=90.00 gamma=90.00
Sites, in units of the cell vectors:
Mg  0.0000  0.0000  0.0000
Sc  0.0000  0.5000  0.5000
Sc  0.5000  0.0000  0.5000
Ge  0.5000  0.5000  0.0000

Computed properties:
- Calculated total energy: -20.5 eV for the cell shown
- ΔH_f (0 K): -1.6 eV/f.u.
- Symmetry: P4/mmm (123)



Record 10
Entry from the Alexandria database: a relaxed structure of MgSc2Ge4 (GGA-PBE).

Unit cell a=7.6676 b=7.6676 c=7.6676 alpha=142.93 beta=142.93 gamma=53.43
Sites, in units of the cell vectors:
Mg  0.0000  0.0000  0.0000
Sc  0.3857  0.3857  0.0000
Sc  0.6143  0.6143  0.0000
Ge  0.0000  0.5000  0.5000
Ge  0.1869  0.1869  0.0000
Ge  0.5000  0.0000  0.5000
Ge  0.8131  0.8131  0.0000

Computed properties:
- Calculated total energy: -31.8 eV for the cell shown
- ΔH_f (0 K): 0.9 eV/f.u.
- Symmetry: I4/mmm (139)



Record 11
Entry from the Alexandria database: a relaxed structure of Mg2Sc2Ge (GGA-PBE).

Unit cell a=6.9038 b=6.9038 c=4.6073 alpha=90.00 beta=90.00 gamma=90.00
Sites, in units of the cell vectors:
Mg  0.1396  0.3604  0.0000
Mg  0.3604  0.8604  0.0000
Mg  0.6397  0.1396  0.0000
Mg  0.8604  0.6397  0.0000
Sc  0.1647  0.6647  0.5000
Sc  0.3353  0.1647  0.5000
Sc  0.6647  0.8353  0.5000
Sc  0.8353  0.3353  0.5000
Ge  0.0000  0.0000  0.0000
Ge  0.5000  0.5000  0.0000

Computed properties:
- Calculated total energy: -41.9 eV for the cell shown
- ΔH_f (0 K): -0.5 eV/f.u.
- Offset from the most stable computed form: 0.000 kcal/mol of atoms
- Symmetry: P4/mbm (127)



Record 12
Entry from the Alexandria database: a relaxed structure of Mg2ScGe2 (GGA-PBE).

Unit cell a=7.7464 b=7.7464 c=3.3459 alpha=90.00 beta=90.00 gamma=90.00
Sites, in units of the cell vectors:
Mg  0.1403  0.3597  0.0000
Mg  0.3597  0.8597  0.0000
Mg  0.6403  0.1403  0.0000
Mg  0.8597  0.6403  0.0000
Sc  0.0000  0.0000  0.5000
Sc  0.5000  0.5000  0.5000
Ge  0.1603  0.6603  0.5000
Ge  0.3397  0.1603  0.5000
Ge  0.6603  0.8397  0.5000
Ge  0.8397  0.3397  0.5000

Computed properties:
- Calculated total energy: -40.1 eV for the cell shown
- ΔH_f (0 K): -1.3 eV/f.u.
- Offset from the most stable computed form: 0.318 kcal/mol of atoms
- Symmetry: P4/mbm (127)



Record 13
Entry from the Alexandria database: a relaxed structure of MgSc3Ge (GGA-PBE).

Unit cell a=5.1120 b=5.1120 c=5.1120 alpha=90.00 beta=90.00 gamma=90.00
Sites, in units of the cell vectors:
Mg  0.0000  0.0000  0.0000
Sc  0.0000  0.0000  0.5000
Sc  0.0000  0.5000  0.0000
Sc  0.5000  0.0000  0.0000
Ge  0.5000  0.5000  0.5000

Computed properties:
- Calculated total energy: -21.6 eV for the cell shown
- ΔH_f (0 K): 3.6 eV/f.u.
- Offset from the most stable computed form: 17.512 kcal/mol of atoms
- Symmetry: Pm-3m (221)



Record 14
Entry from the Alexandria database: a relaxed structure of MgSc2TcGe (GGA-PBE).

Unit cell a=4.8839 b=4.8839 c=5.0250 alpha=90.00 beta=90.00 gamma=90.00
Sites, in units of the cell vectors:
Mg  0.0000  0.0000  0.0000
Sc  0.0000  0.5000  0.5000
Sc  0.5000  0.0000  0.5000
Tc  0.0000  0.0000  0.5000
Ge  0.5000  0.5000  0.0000

Computed properties:
- Calculated total energy: -27.6 eV for the cell shown
- ΔH_f (0 K): 1.6 eV/f.u.
- Symmetry: P4/mmm (123)